No. 1
The following is a PBE+U calculation of MnVNO2 after structural relaxation, from Alexandria via LeMat-Bulk.

```
MnVNO2
1.0
3.750 0.000 0.000
0.000 3.750 0.000
0.000 0.000 3.878
V O N Mn
1 2 1 1
Cartesian
0.000 0.000 0.000 V
0.000 1.875 0.000 O
1.875 0.000 0.000 O
0.000 0.000 1.939 N
1.875 1.875 1.939 Mn
```

Summary:
Symmetry: P4/mmm (123)
E: -7.456 eV per atom
Crystal system: tetragonal

***

No. 2
The following is a PBE+U calculation of YMnN2O after structural relaxation, from Alexandria via LeMat-Bulk.

```
YMnN2O
1.0
-0.850 -3.548 -1.082
2.857 -1.334 2.130
-2.393 -0.341 2.997
Y O Mn N
1 1 1 2
Cartesian
-0.193 -2.611 2.022 Y
-1.197 -0.170 1.498 O
0.000 0.000 0.000 Mn
-0.425 -1.774 -0.541 N
1.428 -0.667 1.065 N
```

Summary:
Symmetry: P4/mmm (123)
E: -7.831 eV per atom
Crystal system: tetragonal

***

No. 3
The following is a PBE+U calculation of YMnN2O after structural relaxation, from Alexandria via LeMat-Bulk.

```
YMnN2O
1.0
4.476 0.000 0.000
0.000 4.476 0.000
0.000 0.000 4.288
Mn Y O N
1 1 1 2
Cartesian
2.238 2.238 2.144 Mn
0.000 0.000 0.000 Y
0.000 0.000 2.144 O
2.238 0.000 0.000 N
0.000 2.238 0.000 N
```

Summary:
Symmetry: P4/mmm (123)
E: -6.154 eV per atom
Crystal system: tetragonal

***

No. 4
The following is a PBE+U calculation of ZrMnNO2 after structural relaxation, from Alexandria via LeMat-Bulk.

```
ZrMnNO2
1.0
-1.197 3.356 -1.047
-2.970 -1.557 -1.595
-1.993 0.342 3.377
N O Zr Mn
1 2 1 1
Cartesian
-0.997 0.171 1.689 N
-1.485 -0.779 -0.798 O
-0.599 1.678 -0.524 O
-3.080 1.071 0.367 Zr
0.000 0.000 0.000 Mn
```

Summary:
Symmetry: P4/mmm (123)
E: -7.950 eV per atom
Crystal system: tetragonal